Record 1
Entry from Alexandria via LeMat-Bulk: NdSnOs after structural relaxation (PBE).

abc: 12.117 3.343 3.343
angles: 89.89 90.00 90.00
Fractional coordinates of all 6 atoms:
Nd (0.149, 0.000, 0.000)
Nd (0.851, 0.000, 0.000)
Sn (0.366, 0.501, 0.501)
Sn (0.634, 0.501, 0.501)
Os (0.000, 0.500, 0.500)
Os (0.500, 0.001, 0.001)

Final energy ... -40.2 eV for the cell shown
Energy of formation ... -0.027 eV per atom

Record 2
Entry from Alexandria via LeMat-Bulk: Nd4SnOs after structural relaxation (PBE).

abc: 8.264 8.264 6.292
angles: 101.17 101.17 114.54
Fractional coordinates of all 12 atoms:
Nd (0.061, 0.720, 0.941)
Nd (0.213, 0.353, 0.636)
Nd (0.280, 0.939, 0.559)
Nd (0.353, 0.213, 0.136)
Nd (0.647, 0.787, 0.864)
Nd (0.720, 0.061, 0.441)
Nd (0.787, 0.647, 0.364)
Nd (0.939, 0.280, 0.059)
Sn (0.373, 0.627, 0.250)
Sn (0.627, 0.373, 0.750)
Os (0.001, 0.999, 0.250)
Os (0.999, 0.001, 0.750)

Final energy ... -72.8 eV for the cell shown
Energy of formation ... -0.352 eV per atom

Record 3
Entry from Alexandria via LeMat-Bulk: Nd12Sn6Os after structural relaxation (PBE).

abc: 8.903 8.903 8.903
angles: 99.20 99.20 99.20
Fractional coordinates of all 19 atoms:
Nd (0.018, 0.945, 0.685)
Nd (0.055, 0.315, 0.982)
Nd (0.193, 0.565, 0.429)
Nd (0.315, 0.982, 0.055)
Nd (0.429, 0.193, 0.565)
Nd (0.435, 0.571, 0.807)
Nd (0.565, 0.429, 0.193)
Nd (0.571, 0.807, 0.435)
Nd (0.685, 0.018, 0.945)
Nd (0.807, 0.435, 0.571)
Nd (0.945, 0.685, 0.018)
Nd (0.982, 0.055, 0.315)
Sn (0.124, 0.308, 0.638)
Sn (0.308, 0.638, 0.124)
Sn (0.362, 0.876, 0.692)
Sn (0.638, 0.124, 0.308)
Sn (0.692, 0.362, 0.876)
Sn (0.876, 0.692, 0.362)
Os (0.000, 0.000, 0.000)

Final energy ... -99.7 eV for the cell shown
Energy of formation ... -0.383 eV per atom

no.,total magnetization (μB per atom)
1,0.00
2,0.00
3,0.00